Entry 1:
! Ac2CeErO6 (PBE, optimized geometry); values from VASP
! Total moment in μB per formula unit: 1.0
! Space group: P2_1/c
&SYSTEM
  ibrav = 0, nat = 20, ntyp = 4
/
ATOMIC_SPECIES
Ac 227.00 Ac.upf
Ce 140.12 Ce.upf
Er 167.26 Er.upf
O 16.00 O.upf
CELL_PARAMETERS angstrom
6.0895 0.0000 0.0000
0.0000 6.2835 0.0000
-6.0646 0.0000 8.7982
ATOMIC_POSITIONS crystal
Ac 0.2365 0.0483 0.2517
Ac 0.2365 0.4517 0.7517
Ac 0.7635 0.5483 0.2483
Ac 0.7635 0.9517 0.7483
Ce 0.5000 0.0000 0.0000
Ce 0.5000 0.5000 0.5000
Er 0.0000 0.0000 0.5000
Er 0.0000 0.5000 0.0000
O 0.1209 0.2046 0.9297
O 0.1209 0.2954 0.4297
O 0.2338 0.6916 0.9360
O 0.2338 0.8084 0.4360
O 0.3662 0.0579 0.7422
O 0.3662 0.4421 0.2422
O 0.6338 0.5579 0.7578
O 0.6338 0.9421 0.2578
O 0.7662 0.1916 0.5640
O 0.7662 0.3084 0.0640
O 0.8791 0.7046 0.5703
O 0.8791 0.7954 0.0703

Entry 2:
! BaTl2Te (PBE, optimized geometry); values from VASP
! Total moment in μB per formula unit: 0.0
! Space group: Imm2
! Energy relative to the lowest polymorph listed for this composition in meV per atom: 36
&SYSTEM
  ibrav = 0, nat = 4, ntyp = 3
/
ATOMIC_SPECIES
Ba 137.33 Ba.upf
Tl 204.38 Tl.upf
Te 127.60 Te.upf
CELL_PARAMETERS angstrom
-2.4858 2.6403 5.3703
2.4858 -2.6403 5.3703
2.4858 2.6403 -5.3703
ATOMIC_POSITIONS crystal
Ba 0.0000 0.0000 0.0000
Tl 0.4587 0.4587 0.0000
Tl 0.7390 0.2390 0.5000
Te 0.2482 0.7482 0.5000

Number 1: formation energy (no corrections) -3.369 eV per atom, E_tot -8.216 eV per atom, DOS(E_F) 3.2 states/eV/f.u.. Number 2: formation energy (no corrections) -0.618 eV per atom, E_tot -3.067 eV per atom, DOS(E_F) 1.2 states/eV/f.u..